[1]
First-principles (PBE-GGA) data for Cd5Pd2 after structural relaxation, as listed in Alexandria via LeMat-Bulk.

Lattice parameters (Å, degrees): 5.2373 7.2559 7.6846 94.56 90.00 111.16
Last column: nearest neighbours and their distance in Å.
Fractional positions:
Pd 0.2430 0.8349 0.4002  9 Cd 2.83-2.94
Pd 0.5919 0.8349 0.9002  9 Cd 2.83-2.94
Pd 0.7570 0.1651 0.5998  9 Cd 2.83-2.94
Pd 0.4081 0.1651 0.0998  9 Cd 2.83-2.94
Cd 0.1431 0.5635 0.6756  3 Pd 2.88-2.92, 8 Cd 2.98-3.21
Cd 0.7708 0.0000 0.2500  4 Pd 2.87, 6 Cd 2.95-3.04
Cd 0.0488 0.7571 0.0487  4 Pd 2.83-2.94, 5 Cd 2.95-3.16
Cd 0.7082 0.7571 0.5487  4 Pd 2.83-2.94, 5 Cd 2.95-3.16
Cd 0.5796 0.4365 0.8244  3 Pd 2.88-2.92, 8 Cd 2.98-3.21
Cd 0.2918 0.2429 0.4513  4 Pd 2.83-2.94, 5 Cd 2.95-3.16
Cd 0.4204 0.5635 0.1756  3 Pd 2.88-2.92, 8 Cd 2.98-3.21
Cd 0.2292 0.0000 0.7500  4 Pd 2.87, 6 Cd 2.95-3.04
Cd 0.9512 0.2429 0.9513  4 Pd 2.83-2.94, 5 Cd 2.95-3.16
Cd 0.8569 0.4365 0.3244  3 Pd 2.88-2.92, 8 Cd 2.98-3.21

energy relative to the elements: -0.25 eV/atom
calculated density: 9.48 g/cm3
raw total energy: -2.38 eV/atom
total magnetic moment: 0.0 μB/f.u.

***

[2]
First-principles (PBE-GGA) data for CdPd4 after structural relaxation, as listed in Alexandria via LeMat-Bulk.

Lattice parameters (Å, degrees): 4.9167 5.3157 4.9167 117.55 90.00 117.55
Last column: nearest neighbours and their distance in Å.
Fractional positions:
Pd 0.3463 0.6927 0.3463  5 Pd 2.47-2.58
Pd 0.7500 0.5000 0.2500  4 Pd 2.58
Pd 0.6537 0.3073 0.6537  5 Pd 2.47-2.58
Pd 0.2500 0.5000 0.7500  4 Pd 2.58
Cd 0.0000 0.0000 0.0000  2 Pd 2.79

energy relative to the elements: 0.28 eV/atom
calculated density: 9.19 g/cm3
distance to the lowest polymorph of the same formula: 0.265 eV/atom
raw total energy: -4.06 eV/atom
total magnetic moment: 0.0 μB/f.u.

***

[3]
First-principles (PBE-GGA) data for CdPd2 after structural relaxation, as listed in Alexandria via LeMat-Bulk.

Lattice parameters (Å, degrees): 5.3197 5.3197 5.3197 60.00 60.00 60.00
Last column: nearest neighbours and their distance in Å.
Fractional positions:
Pd 0.1250 0.6250 0.6250  6 Pd 2.66
Pd 0.6250 0.1250 0.6250  6 Pd 2.66
Pd 0.6250 0.6250 0.6250  6 Pd 2.66
Pd 0.6250 0.6250 0.1250  6 Pd 2.66
Cd 0.2500 0.2500 0.2500  12 Pd 3.12, 4 Cd 3.26
Cd 0.0000 0.0000 0.0000  12 Pd 3.12, 4 Cd 3.26

energy relative to the elements: -0.13 eV/atom
calculated density: 10.15 g/cm3
raw total energy: -3.90 eV/atom
total magnetic moment: 0.0 μB/f.u.

***

[4]
First-principles (PBE-GGA) data for Cd7Pd after structural relaxation, as listed in Alexandria via LeMat-Bulk.

Lattice parameters (Å, degrees): 4.2751 4.2751 9.5492 102.94 102.94 90.00
Last column: nearest neighbours and their distance in Å.
Fractional positions:
Cd 0.6186 0.1186 0.2371  10 Cd 3.02-3.22, 2 Pd 3.03
Cd 0.5000 0.5000 0.0000  4 Pd 3.02, 8 Cd 3.03
Cd 0.3814 0.8814 0.7629  10 Cd 3.02-3.22, 2 Pd 3.03
Cd 0.7485 0.7485 0.4970  12 Cd 3.02-3.22
Cd 0.2515 0.2515 0.5030  12 Cd 3.02-3.22
Cd 0.8814 0.3814 0.7629  10 Cd 3.02-3.22, 2 Pd 3.03
Cd 0.1186 0.6186 0.2371  10 Cd 3.02-3.22, 2 Pd 3.03
Pd 0.0000 0.0000 0.0000  12 Cd 3.02-3.03

energy relative to the elements: -0.08 eV/atom
calculated density: 8.96 g/cm3
raw total energy: -1.53 eV/atom
total magnetic moment: 0.0 μB/f.u.

***

[5]
First-principles (PBE-GGA) data for CdPd4 after structural relaxation, as listed in Alexandria via LeMat-Bulk.

Lattice parameters (Å, degrees): 5.3430 4.5743 9.1899 128.04 90.00 90.00
Last column: nearest neighbours and their distance in Å.
Fractional positions:
Pd 0.5000 0.6346 0.8883  3 Pd 2.63-2.70, 1 Cd 2.90
Pd 0.7504 0.9997 0.2500  2 Cd 2.66, 8 Pd 2.67-2.97
Pd 0.2504 0.0003 0.2500  2 Cd 2.66, 8 Pd 2.67-2.97
Pd 0.5000 0.3654 0.1117  3 Pd 2.63-2.70, 1 Cd 2.90
Pd 0.0000 0.6346 0.3883  3 Pd 2.63-2.70, 1 Cd 2.90
Pd 0.2496 0.0003 0.7500  2 Cd 2.66, 8 Pd 2.67-2.97
Pd 0.7496 0.9997 0.7500  2 Cd 2.66, 8 Pd 2.67-2.97
Pd 0.0000 0.3654 0.6117  3 Pd 2.63-2.70, 1 Cd 2.90
Cd 0.0000 0.0000 0.0000  6 Pd 2.66-2.90
Cd 0.5000 0.0000 0.5000  6 Pd 2.66-2.90

energy relative to the elements: 0.01 eV/atom
calculated density: 10.10 g/cm3
distance to the lowest polymorph of the same formula: 0.000 eV/atom
raw total energy: -4.32 eV/atom
total magnetic moment: 0.0 μB/f.u.

***

[6]
First-principles (PBE-GGA) data for CdPd2 after structural relaxation, as listed in Alexandria via LeMat-Bulk.

Lattice parameters (Å, degrees): 2.9721 2.9721 6.0526 104.21 104.21 90.00
Last column: nearest neighbours and their distance in Å.
Fractional positions:
Cd 0.0000 0.0000 0.0000  8 Pd 2.84, 4 Cd 2.97
Pd 0.6684 0.6684 0.3369  8 Pd 2.80-2.97, 4 Cd 2.84
Pd 0.3316 0.3316 0.6631  8 Pd 2.80-2.97, 4 Cd 2.84

energy relative to the elements: -0.28 eV/atom
calculated density: 10.77 g/cm3
raw total energy: -4.04 eV/atom
total magnetic moment: 0.0 μB/f.u.

***

> Look up the calculated density of the third one.

10.15 g/cm3

***

> Which value of total magnetic moment does entry 2 give?

0.0 μB/f.u.

***

> total magnetic moment of number 5 (CdPd4)?

0.0 μB/f.u.